Cr2TcBiMo | PBE | relaxed

```
Cr2TcBiMo
1.0
4.668 0.000 0.000
0.000 4.668 0.000
0.000 0.000 4.866
Cr Tc Bi Mo
2 1 1 1
direct
0.000 0.500 0.000 Cr
0.500 0.000 0.000 Cr
0.000 0.000 0.500 Tc
0.000 0.000 0.000 Bi
0.500 0.500 0.500 Mo
```

Calculated values
For the energy relative to the elements, the calculation gives 13.334 eV per formula unit.


CrBiTeMo2 | PBE | relaxed

```
CrBiTeMo2
1.0
5.007 0.000 0.000
0.000 5.007 0.000
0.000 0.000 4.747
Cr Bi Te Mo
1 1 1 2
direct
0.000 0.000 0.000 Cr
0.500 0.500 0.000 Bi
0.000 0.000 0.500 Te
0.000 0.500 0.500 Mo
0.500 0.000 0.500 Mo
```

Calculated values
For the electronic total energy, the calculation gives -30.197 eV for the cell shown.


TiCr2BiMo | PBE | relaxed

```
TiCr2BiMo
1.0
4.652 0.000 0.000
0.000 4.652 0.000
0.000 0.000 5.292
Ti Cr Bi Mo
1 2 1 1
direct
0.000 0.000 0.000 Ti
0.000 0.500 0.500 Cr
0.500 0.000 0.500 Cr
0.500 0.500 0.000 Bi
0.500 0.500 0.500 Mo
```

Calculated values
For the energy relative to the elements, the calculation gives 6.376 eV per formula unit.


ZrCrBiMo2 | PBE | relaxed

```
ZrCrBiMo2
1.0
4.928 0.000 0.000
0.000 4.928 0.000
0.000 0.000 4.614
Zr Cr Bi Mo
1 1 1 2
direct
0.000 0.000 0.000 Zr
0.000 0.000 0.500 Cr
0.500 0.500 0.500 Bi
0.000 0.500 0.000 Mo
0.500 0.000 0.000 Mo
```

Calculated values
For the energy relative to the elements, the calculation gives 9.237 eV per formula unit.


CrBiN3 | PBE | relaxed

```
CrBiN3
1.0
4.202 0.000 0.000
0.000 4.202 0.000
0.000 0.000 4.202
Cr Bi N
1 1 3
direct
0.000 0.000 0.000 Cr
0.500 0.500 0.500 Bi
0.000 0.500 0.500 N
0.500 0.000 0.500 N
0.500 0.500 0.000 N
```

Calculated values
For the electronic total energy, the calculation gives -25.967 eV for the cell shown.


CrBiN2 | PBE | relaxed

```
CrBiN2
1.0
3.568 0.000 0.000
0.000 3.568 0.000
0.000 0.000 9.587
Cr Bi N
2 2 4
direct
0.250 0.250 0.079 Cr
0.750 0.750 0.921 Cr
0.250 0.250 0.630 Bi
0.750 0.750 0.370 Bi
0.250 0.250 0.255 N
0.250 0.750 0.000 N
0.750 0.250 0.000 N
0.750 0.750 0.745 N
```

Calculated values
For the electronic total energy, the calculation gives -59.366 eV for the cell shown.


CrBi3N | PBE | relaxed

```
CrBi3N
1.0
4.868 0.000 0.000
0.000 4.868 0.000
0.000 0.000 4.868
Cr Bi N
1 3 1
direct
0.000 0.000 0.000 Cr
0.000 0.500 0.500 Bi
0.500 0.000 0.500 Bi
0.500 0.500 0.000 Bi
0.500 0.500 0.500 N
```

Calculated values
For the electronic total energy, the calculation gives -24.068 eV for the cell shown.


CrBiN2 | PBE | relaxed

```
CrBiN2
1.0
-2.652 2.652 4.300
2.652 -2.652 4.300
2.652 2.652 -4.300
Cr Bi N
2 2 4
direct
0.000 0.000 0.000 Cr
0.750 0.250 0.500 Cr
0.250 0.750 0.500 Bi
0.500 0.500 0.000 Bi
0.375 0.236 0.361 N
0.764 0.125 0.139 N
0.875 0.014 0.639 N
0.986 0.625 0.861 N
```

Calculated values
For the electronic total energy, the calculation gives -58.873 eV for the cell shown.


It is found that the magnetic moment values, taken in the order of the records, are 0.002; 2.492; 4.242; 1.499; 0.439; 2.251; 0.626; 1.623 μB/cell.